CsTl2SnAu2 | PBE | relaxed

Calculated values
SG: No. 26
Size of the total moment, Bohr magnetons per cell: 0.00
VASP energy, eV/cell: -34.084
DFT formation energy, meV/atom: -149.8

Cell lengths 5.036, 8.286, 9.435 Å; angles 90.00, 90.00, 90.00 degrees
Fractional positions:
Au 0.000 0.697 0.139
Tl 0.000 0.844 0.867
Tl 0.500 0.527 0.908
Tl 0.500 0.027 0.092
Tl 0.000 0.344 0.133
Cs 0.000 0.498 0.560
Sn 0.500 0.659 0.250
Au 0.000 0.197 0.861
Au 0.500 0.322 0.291
Sn 0.500 0.159 0.750
Cs 0.000 0.998 0.440
Au 0.500 0.822 0.709



SiCl2O | PBE | relaxed

Calculated values
SG: No. 225
Size of the total moment, Bohr magnetons per cell: 2.00
VASP energy, eV/cell: -11.951
ΔE to the lowest computed polymorph, eV/atom: 2.349

Cell lengths 4.575, 4.575, 4.575 Å; angles 60.00, 60.00, 60.00 degrees
Last column: magnetic moment on the atom in μB.
Fractional positions:
O 0.000 0.000 0.000  1.28
Si 0.500 0.500 0.500  0.02
Cl 0.750 0.750 0.750  0.20
Cl 0.250 0.250 0.250  0.20